The following is a PBE calculation of crystalline CsCrAg3 at its relaxed geometry, from Alexandria via LeMat-Bulk.

Properties
ΔH_f (0 K) (eV/atom): 1.6829
DFT total energy (eV per atom): -2.123

Cell: 6.1265 6.1265 6.1265 Å, 90.00 90.00 90.00°
With the nearest neighbours (Å) after each atom.
Fractional coordinates of all 5 atoms:
Cs  0.0000  0.0000  0.0000  6 Ag 3.06
Cr  0.5000  0.5000  0.5000  12 Ag 4.33
Ag  0.0000  0.0000  0.5000  2 Cs 3.06
Ag  0.0000  0.5000  0.0000  2 Cs 3.06
Ag  0.5000  0.0000  0.0000  2 Cs 3.06